Record 1
Crystalline Pm8MgNi2 at its relaxed geometry. Source: Alexandria via LeMat-Bulk, functional PBE.

```
Pm8MgNi2
1.0
4.323 -6.915 0.000
4.323 6.915 0.000
-1.292 0.000 5.426
Pm Mg Ni
8 1 2
Cartesian
-0.156 0.000 4.340
1.984 1.763 2.328
4.323 3.488 0.000
1.984 -1.763 2.328
5.370 1.763 3.098
4.323 -3.488 0.000
5.370 -1.763 3.098
7.509 0.000 1.086
4.323 0.000 0.000
3.677 4.145 2.713
3.677 -4.145 2.713
```

energy of formation from the pure elements = -0.04 eV/atom
V = 324.39 Å³/f.u.
SG = C2/m, No. 12

Record 2
Crystalline PmMg3Ni2 at its relaxed geometry. Source: Alexandria via LeMat-Bulk, functional PBE.

```
PmMg3Ni2
1.0
8.005 -1.981 0.000
8.005 1.981 0.000
-4.139 0.000 7.549
Pm Mg Ni
2 6 4
Cartesian
1.395 0.000 1.233
10.475 0.000 6.316
-2.334 0.000 5.213
4.722 0.000 0.776
3.641 0.000 3.797
8.229 0.000 3.752
7.148 0.000 6.772
14.204 0.000 2.336
0.409 0.000 5.547
7.382 0.000 1.034
4.488 0.000 6.515
11.461 0.000 2.002
```

energy of formation from the pure elements = -0.16 eV/atom
V = 119.72 Å³/f.u.
SG = C2/m, No. 12

Record 3
Crystalline Pm4MgNi5 at its relaxed geometry. Source: Alexandria via LeMat-Bulk, functional PBE.

```
Pm4MgNi5
1.0
3.411 0.000 0.000
0.000 3.411 0.000
0.000 0.000 16.829
Pm Mg Ni
4 1 5
Cartesian
0.000 0.000 1.771
0.000 0.000 5.309
0.000 0.000 11.520
0.000 0.000 15.057
0.000 0.000 8.414
1.706 1.706 0.000
1.706 1.706 3.532
1.706 1.706 7.088
1.706 1.706 9.740
1.706 1.706 13.296
```

energy of formation from the pure elements = -0.22 eV/atom
V = 195.83 Å³/f.u.
SG = P4/mmm, No. 123

Record 4
Crystalline Pm12MgNi5 at its relaxed geometry. Source: Alexandria via LeMat-Bulk, functional PBE.

```
Pm12MgNi5
1.0
-4.797 4.958 5.111
4.797 -4.958 5.111
4.797 4.958 -5.111
Pm Mg Ni
12 1 5
Cartesian
4.797 3.075 -3.003
2.859 1.775 0.000
6.736 1.775 0.000
1.844 4.958 -1.821
2.953 0.000 3.291
0.000 1.883 2.109
4.797 3.075 3.003
1.844 4.958 1.821
2.953 0.000 6.932
-1.939 3.183 5.111
1.939 3.183 5.111
0.000 1.883 8.114
0.000 0.000 5.111
0.000 0.000 0.000
4.797 0.000 1.261
0.000 3.655 0.000
0.000 6.262 0.000
0.000 4.958 3.851
```

energy of formation from the pure elements = -0.21 eV/atom
V = 486.31 Å³/f.u.
SG = Immm, No. 71

Record 5
Crystalline Pm2Mg2Ni15 at its relaxed geometry. Source: Alexandria via LeMat-Bulk, functional PBE.

```
Pm2Mg2Ni15
1.0
4.216 2.434 4.125
-4.216 2.434 4.125
0.000 -4.869 4.125
Pm Mg Ni
2 2 15
Cartesian
0.000 0.000 1.853
0.000 0.000 10.522
0.000 0.000 4.918
0.000 0.000 7.457
-2.108 -1.217 4.125
0.000 -2.442 3.994
-2.115 1.221 3.994
-1.262 -2.186 6.188
-2.524 0.000 6.188
-2.115 -1.221 8.381
-2.108 1.217 8.250
1.262 -2.186 6.188
0.000 2.434 4.125
-1.262 2.186 6.188
2.115 1.221 3.994
2.524 0.000 6.188
1.262 2.186 6.188
2.115 -1.221 8.381
0.000 2.442 8.381
```

energy of formation from the pure elements = -0.21 eV/atom
V = 254.04 Å³/f.u.
SG = R-3m, No. 166

Record 6
Crystalline PmMg7Ni5 at its relaxed geometry. Source: Alexandria via LeMat-Bulk, functional PBE.

```
PmMg7Ni5
1.0
-2.656 4.540 4.586
2.656 -4.540 4.586
2.656 4.540 -4.586
Pm Mg Ni
1 7 5
Cartesian
0.000 0.000 0.000
2.656 1.857 -0.408
2.656 -1.454 3.952
0.000 0.000 2.901
2.656 1.454 3.952
0.000 0.000 5.868
0.000 4.540 2.014
0.000 2.683 4.179
2.656 0.000 1.611
1.286 2.175 1.778
4.025 2.175 1.778
-1.369 2.365 6.364
1.369 2.365 6.364
```

energy of formation from the pure elements = -0.16 eV/atom
V = 221.19 Å³/f.u.
SG = Imm2, No. 44